(1)
Below is Ba2TbSeO6 after structural relaxation, with properties calculated at the PBE level.

```
data_Ba2TbSeO6
_chemical_formula_sum 'Ba4 Tb2 Se2 O12'
_cell_length_a 11.237
_cell_length_b 11.237
_cell_length_c 11.237
_cell_angle_alpha 30.96
_cell_angle_beta 30.96
_cell_angle_gamma 30.96
_space_group_name_H-M_alt 'P 1'
_space_group_IT_number 1
loop_
_space_group_symop_operation_xyz
'x,y,z'
loop_
_atom_site_label
_atom_site_type_symbol
_atom_site_fract_x
_atom_site_fract_y
_atom_site_fract_z
_atom_site_occupancy
Ba1 Ba 0.135 0.135 0.135 1
Ba2 Ba 0.300 0.300 0.300 1
Ba3 Ba 0.700 0.700 0.700 1
Ba4 Ba 0.865 0.865 0.865 1
Tb1 Tb 0.409 0.409 0.409 1
Tb2 Tb 0.591 0.591 0.591 1
Se1 Se 0.000 0.000 0.000 1
Se2 Se 0.500 0.500 0.500 1
O1 O 0.175 0.612 0.612 1
O2 O 0.199 0.199 0.714 1
O3 O 0.199 0.714 0.199 1
O4 O 0.286 0.801 0.801 1
O5 O 0.388 0.388 0.825 1
O6 O 0.388 0.825 0.388 1
O7 O 0.612 0.175 0.612 1
O8 O 0.612 0.612 0.175 1
O9 O 0.714 0.199 0.199 1
O10 O 0.801 0.286 0.801 1
O11 O 0.801 0.801 0.286 1
O12 O 0.825 0.388 0.388 1
```


(2)
Below is BaThSeO2 after structural relaxation, with properties calculated at the PBE level.

```
data_BaThSeO2
_chemical_formula_sum 'Ba1 Th1 Se1 O2'
_cell_length_a 4.444
_cell_length_b 4.444
_cell_length_c 6.336
_cell_angle_alpha 90.00
_cell_angle_beta 90.00
_cell_angle_gamma 90.00
_space_group_name_H-M_alt 'P 1'
_space_group_IT_number 1
loop_
_space_group_symop_operation_xyz
'x,y,z'
loop_
_atom_site_label
_atom_site_type_symbol
_atom_site_fract_x
_atom_site_fract_y
_atom_site_fract_z
_atom_site_occupancy
Ba1 Ba 0.000 0.000 0.000 1
Th1 Th 0.500 0.500 0.363 1
Se1 Se 0.500 0.500 0.830 1
O1 O 0.000 0.500 0.282 1
O2 O 0.500 0.000 0.282 1
```


Computed uncorrected formation energy (meV per atom) in order:
-2207; -2965